Record 1
Pm6Tl5Ga: relaxed, PBE-GGA.

a = 9.597 Å, b = 11.788 Å, c = 6.749 Å
α = 90.00°, β = 103.76°, γ = 90.00°
Space group C2/m (No. 12)
One atom of each set of equivalent atoms:
Pm 0.219 0.000 0.229 x4
Pm 0.230 0.161 0.726 x8
Tl 0.000 0.199 0.000 x4
Tl 0.000 0.356 0.500 x4
Tl 0.000 0.500 0.000 x2
Ga 0.000 0.000 0.500 x2

Values from the calculation:
**Calculated volume**: 741.6 Å³/cell
**Final energy**: -0.287 Ry per atom

Record 2
Pm8Tl2Ga: relaxed, PBE-GGA.

a = 19.358 Å, b = 5.300 Å, c = 6.906 Å
α = 90.00°, β = 105.64°, γ = 90.00°
Space group C2/m (No. 12)
One atom of each set of equivalent atoms:
Pm 0.011 0.000 0.273 x4
Pm 0.091 0.500 0.966 x4
Pm 0.155 0.500 0.490 x4
Pm 0.208 0.000 0.816 x4
Tl 0.177 0.000 0.248 x4
Ga 0.000 0.500 0.500 x2

Values from the calculation:
**Calculated volume**: 682.3 Å³/cell
**Final energy**: -0.322 Ry per atom

Record 3
Pm8Tl3Ga2: relaxed, PBE-GGA.

a = 15.860 Å, b = 9.101 Å, c = 5.530 Å
α = 90.00°, β = 90.01°, γ = 90.00°
Space group C2/m (No. 12)
One atom of each set of equivalent atoms:
Pm 0.110 0.000 0.000 x4
Pm 0.126 0.285 0.500 x8
Pm 0.190 0.500 0.000 x4
Tl 0.000 0.000 0.500 x2
Tl 0.000 0.322 0.000 x4
Ga 0.226 0.000 0.499 x4

Values from the calculation:
**Calculated volume**: 798.2 Å³/cell
**Final energy**: -0.305 Ry per atom

Record 4
PmTlGa: relaxed, PBE-GGA.

a = 16.728 Å, b = 4.534 Å, c = 4.174 Å
α = 90.00°, β = 99.83°, γ = 90.00°
Space group C2/m (No. 12)
One atom of each set of equivalent atoms:
Pm 0.096 0.000 0.318 x4
Tl 0.212 0.500 0.778 x4
Ga 0.043 0.500 0.780 x4

Values from the calculation:
**Calculated volume**: 311.9 Å³/cell
**Final energy**: -0.283 Ry per atom